No. 1
BaTi3Mo | Alexandria via LeMat-Bulk | SCAN | PBEsol geometry; DFT formation energy = 10.92 eV per formula unit; magnetization = 1.369 μB/cell; total DFT energy (no corrections) = -111.605 eV for the cell shown
1.0
4.827 0.000 0.000
0.000 4.827 0.000
0.000 0.000 4.827
Ba Ti Mo
1 3 1
direct
0.000 0.000 0.000 Ba
0.000 0.000 0.500 Ti
0.000 0.500 0.000 Ti
0.500 0.000 0.000 Ti
0.500 0.500 0.500 Mo



No. 2
InSbP2 | Alexandria via LeMat-Bulk | SCAN | PBEsol geometry; magnetization = 0.000 μB/cell; E_form (uncorrected) = 0.522 eV per atom; total DFT energy (no corrections) = -89.356 eV for the cell shown
1.0
-2.399 2.399 3.385
2.399 -2.399 3.385
2.399 2.399 -3.385
In Sb P
1 1 2
direct
0.000 0.000 0.000 In
0.500 0.500 0.000 Sb
0.250 0.750 0.500 P
0.750 0.250 0.500 P



No. 3
As4Se3 | Alexandria via LeMat-Bulk | SCAN | PBEsol geometry; magnetization = 0.000 μB/cell; E_form (uncorrected) = -0.088 eV per atom; total DFT energy (no corrections) = -566.454 eV for the cell shown
1.0
9.233 0.000 0.000
0.000 7.898 0.000
0.000 0.000 10.228
As Se
16 12
direct
0.031 0.250 0.090 As
0.141 0.590 0.769 As
0.141 0.910 0.769 As
0.162 0.250 0.568 As
0.338 0.750 0.068 As
0.359 0.090 0.269 As
0.359 0.410 0.269 As
0.469 0.750 0.590 As
0.531 0.250 0.410 As
0.641 0.590 0.731 As
0.641 0.910 0.731 As
0.662 0.250 0.932 As
0.838 0.750 0.432 As
0.859 0.090 0.231 As
0.859 0.410 0.231 As
0.969 0.750 0.910 As
0.083 0.750 0.118 Se
0.164 0.022 0.412 Se
0.164 0.478 0.412 Se
0.336 0.522 0.912 Se
0.336 0.978 0.912 Se
0.417 0.250 0.618 Se
0.583 0.750 0.382 Se
0.664 0.022 0.088 Se
0.664 0.478 0.088 Se
0.836 0.522 0.588 Se
0.836 0.978 0.588 Se
0.917 0.250 0.882 Se



No. 4
Sc2TeS | Alexandria via LeMat-Bulk | SCAN | PBEsol geometry; magnetization = 0.000 μB/cell; relative energy among the computed polymorphs = 0.000 eV/atom; E_form (uncorrected) = -1.301 eV per atom; total DFT energy (no corrections) = -161.117 eV for the cell shown
1.0
-3.034 3.034 6.005
3.034 -3.034 6.005
3.034 3.034 -6.005
Sc Te S
4 2 2
direct
0.078 0.625 0.953 Sc
0.375 0.328 0.453 Sc
0.672 0.125 0.047 Sc
0.875 0.922 0.547 Sc
0.250 0.750 0.500 Te
0.500 0.500 0.000 Te
0.000 0.000 0.000 S
0.750 0.250 0.500 S



Repeat the fourth record exactly.
Sc2TeS | Alexandria via LeMat-Bulk | SCAN | PBEsol geometry; magnetization = 0.000 μB/cell; relative energy among the computed polymorphs = 0.000 eV/atom; E_form (uncorrected) = -1.301 eV per atom; total DFT energy (no corrections) = -161.117 eV for the cell shown
1.0
-3.034 3.034 6.005
3.034 -3.034 6.005
3.034 3.034 -6.005
Sc Te S
4 2 2
direct
0.078 0.625 0.953 Sc
0.375 0.328 0.453 Sc
0.672 0.125 0.047 Sc
0.875 0.922 0.547 Sc
0.250 0.750 0.500 Te
0.500 0.500 0.000 Te
0.000 0.000 0.000 S
0.750 0.250 0.500 S